# Mn2CuAgF8

Mn2CuAgF8 after structural relaxation (PBE with a Hubbard U, the Alexandria database).

Output
E_tot: -5.10 eV per atom

Lattice parameters (Å, degrees): 4.902 6.716 4.912 90.00 91.48 90.00
Fractional coordinates of all 12 atoms:
Mn  0.000  0.242  0.000
Mn  0.000  0.758  0.000
Cu  0.500  0.000  0.500
Ag  0.500  0.500  0.500
F  0.180  0.500  0.823
F  0.201  0.000  0.802
F  0.295  0.212  0.298
F  0.295  0.788  0.298
F  0.705  0.212  0.702
F  0.705  0.788  0.702
F  0.799  0.000  0.198
F  0.820  0.500  0.177